1 | # Pm2GaS | Alexandria via LeMat-Bulk | PBE-GGA | relaxed
# **Crystal system**: trigonal
# **Mass density**: 6.28 Mg/m³
# **Size of the total moment**: 0.00 μB per formula unit
data_Pm2GaS
_chemical_formula_sum 'Pm6 Ga3 S3'
_cell_length_a 3.9144
_cell_length_b 3.9144
_cell_length_c 23.4127
_cell_angle_alpha 90.00
_cell_angle_beta 90.00
_cell_angle_gamma 120.00
_symmetry_space_group_name_H-M 'R 3 m'
_symmetry_Int_Tables_number 160
_symmetry_space_group_name_Hall 'R 3 -2"'
loop_
_atom_site_label
_atom_site_type_symbol
_atom_site_fract_x
_atom_site_fract_y
_atom_site_fract_z
Pm1 Pm 0.0000 0.0000 0.0000
Pm2 Pm 0.0000 0.0000 0.1874
Ga1 Ga 0.0000 0.0000 0.7609
S1 S 0.0000 0.0000 0.5922

2 | # Pm2GaS | Alexandria via LeMat-Bulk | PBE-GGA | relaxed
# **Crystal system**: orthorhombic
# **Mass density**: 6.60 Mg/m³
# **Size of the total moment**: 0.00 μB per formula unit
data_Pm2GaS
_chemical_formula_sum 'Pm8 Ga4 S4'
_cell_length_a 4.2439
_cell_length_b 22.8437
_cell_length_c 4.0678
_cell_angle_alpha 90.00
_cell_angle_beta 90.00
_cell_angle_gamma 90.00
_symmetry_space_group_name_H-M 'C m c m'
_symmetry_Int_Tables_number 63
_symmetry_space_group_name_Hall '-C 2c 2'
loop_
_atom_site_label
_atom_site_type_symbol
_atom_site_fract_x
_atom_site_fract_y
_atom_site_fract_z
Pm1 Pm 0.0000 0.0696 0.2500
Pm2 Pm 0.0000 0.3146 0.2500
Ga1 Ga 0.0000 0.4622 0.2500
S1 S 0.0000 0.1920 0.2500

3 | # Pm2GaS | Alexandria via LeMat-Bulk | PBE-GGA | relaxed
# **Crystal system**: trigonal
# **Mass density**: 6.38 Mg/m³
# **Size of the total moment**: 0.00 μB per formula unit
data_Pm2GaS
_chemical_formula_sum 'Pm6 Ga3 S3'
_cell_length_a 4.0052
_cell_length_b 4.0052
_cell_length_c 22.0350
_cell_angle_alpha 90.00
_cell_angle_beta 90.00
_cell_angle_gamma 120.00
_symmetry_space_group_name_H-M 'R -3 m'
_symmetry_Int_Tables_number 166
_symmetry_space_group_name_Hall '-R 3 2"'
loop_
_atom_site_label
_atom_site_type_symbol
_atom_site_fract_x
_atom_site_fract_y
_atom_site_fract_z
Pm1 Pm 0.0000 0.0000 0.2440
Ga1 Ga 0.0000 0.0000 0.0000
S1 S 0.0000 0.0000 0.5000

Most stable: 2. Least stable: 1.

1 | # Pm4Ga2S | Alexandria via LeMat-Bulk | PBE-GGA | relaxed
# **Crystal system**: tetragonal
# **Mass density**: 6.02 Mg/m³
# **Size of the total moment**: 0.00 μB per formula unit
data_Pm4Ga2S
_chemical_formula_sum 'Pm8 Ga4 S2'
_cell_length_a 5.3270
_cell_length_b 5.3270
_cell_length_c 14.6025
_cell_angle_alpha 90.00
_cell_angle_beta 90.00
_cell_angle_gamma 90.00
_symmetry_space_group_name_H-M 'I 4/m m m'
_symmetry_Int_Tables_number 139
_symmetry_space_group_name_Hall '-I 4 2'
loop_
_atom_site_label
_atom_site_type_symbol
_atom_site_fract_x
_atom_site_fract_y
_atom_site_fract_z
Pm1 Pm 0.0000 0.0000 0.1862
Pm2 Pm 0.0000 0.5000 0.0000
Ga1 Ga 0.0000 0.0000 0.3882
S1 S 0.0000 0.0000 0.0000

2 | # Pm4Ga2S | Alexandria via LeMat-Bulk | PBE-GGA | relaxed
# **Crystal system**: monoclinic
# **Mass density**: 6.62 Mg/m³
# **Size of the total moment**: 0.00 μB per formula unit
data_Pm4Ga2S
_chemical_formula_sum 'Pm8 Ga4 S2'
_cell_length_a 12.3227
_cell_length_b 4.2630
_cell_length_c 8.7084
_cell_angle_alpha 90.00
_cell_angle_beta 124.46
_cell_angle_gamma 90.00
_symmetry_space_group_name_H-M 'C 1 2/m 1'
_symmetry_Int_Tables_number 12
loop_
_symmetry_equiv_pos_as_xyz
'x,y,z'
'-x,-y,-z'
'-x,y,-z'
'x,-y,z'
'x+1/2,y+1/2,z'
'-x+1/2,-y+1/2,-z'
'-x+1/2,y+1/2,-z'
'x+1/2,-y+1/2,z'
loop_
_atom_site_label
_atom_site_type_symbol
_atom_site_fract_x
_atom_site_fract_y
_atom_site_fract_z
Pm1 Pm 0.0842 0.0000 0.3722
Pm2 Pm 0.1747 0.5000 0.0865
Ga1 Ga 0.1188 0.5000 0.6625
S1 S 0.0000 0.0000 0.0000

Most stable: 2. Least stable: 1.

1 | # PmSc2Ga2 | Alexandria via LeMat-Bulk | PBE-GGA | relaxed
# **Crystal system**: tetragonal
# **Mass density**: 5.33 Mg/m³
# **Size of the total moment**: 0.00 μB per formula unit
data_PmSc2Ga2
_chemical_formula_sum 'Pm2 Sc4 Ga4'
_cell_length_a 4.3490
_cell_length_b 4.3490
_cell_length_c 12.3241
_cell_angle_alpha 90.00
_cell_angle_beta 90.00
_cell_angle_gamma 90.00
_symmetry_space_group_name_H-M 'I 4/m m m'
_symmetry_Int_Tables_number 139
_symmetry_space_group_name_Hall '-I 4 2'
loop_
_atom_site_label
_atom_site_type_symbol
_atom_site_fract_x
_atom_site_fract_y
_atom_site_fract_z
Pm1 Pm 0.0000 0.0000 0.0000
Sc1 Sc 0.0000 0.5000 0.2500
Ga1 Ga 0.0000 0.0000 0.3993

2 | # PmSc2Ga2 | Alexandria via LeMat-Bulk | PBE-GGA | relaxed
# **Crystal system**: monoclinic
# **Mass density**: 5.23 Mg/m³
# **Size of the total moment**: 0.00 μB per formula unit
data_PmSc2Ga2
_chemical_formula_sum 'Pm2 Sc4 Ga4'
_cell_length_a 5.0819
_cell_length_b 4.2343
_cell_length_c 11.0883
_cell_angle_alpha 90.00
_cell_angle_beta 94.68
_cell_angle_gamma 90.00
_symmetry_space_group_name_H-M 'P 1 21/m 1'
_symmetry_Int_Tables_number 11
loop_
_symmetry_equiv_pos_as_xyz
'x,y,z'
'-x,-y,-z'
'-x,y+1/2,-z'
'x,-y+1/2,z'
loop_
_atom_site_label
_atom_site_type_symbol
_atom_site_fract_x
_atom_site_fract_y
_atom_site_fract_z
Pm1 Pm 0.1857 0.2500 0.2456
Sc1 Sc 0.2429 0.7500 0.4865
Sc2 Sc 0.3502 0.2500 0.8913
Ga1 Ga 0.1452 0.7500 0.0241
Ga2 Ga 0.2787 0.2500 0.6450

Most stable: 1. Least stable: 2.

1 | # PmSc2Ga | Alexandria via LeMat-Bulk | PBE-GGA | relaxed
# **Crystal system**: tetragonal
# **Mass density**: 5.28 Mg/m³
# **Size of the total moment**: 0.00 μB per formula unit
data_PmSc2Ga
_chemical_formula_sum 'Pm1 Sc2 Ga1'
_cell_length_a 3.3573
_cell_length_b 3.3573
_cell_length_c 8.5035
_cell_angle_alpha 90.00
_cell_angle_beta 90.00
_cell_angle_gamma 90.00
_symmetry_space_group_name_H-M 'P 4/m m m'
_symmetry_Int_Tables_number 123
_symmetry_space_group_name_Hall '-P 4 2'
loop_
_atom_site_label
_atom_site_type_symbol
_atom_site_fract_x
_atom_site_fract_y
_atom_site_fract_z
Pm1 Pm 0.0000 0.0000 0.0000
Sc1 Sc 0.5000 0.5000 0.2983
Ga1 Ga 0.0000 0.0000 0.5000

2 | # PmSc2Ga | Alexandria via LeMat-Bulk | PBE-GGA | relaxed
# **Crystal system**: cubic
# **Mass density**: 5.43 Mg/m³
# **Size of the total moment**: 2.29 μB per formula unit
data_PmSc2Ga
_chemical_formula_sum 'Pm4 Sc8 Ga4'
_cell_length_a 7.1974
_cell_length_b 7.1974
_cell_length_c 7.1974
_cell_angle_alpha 90.00
_cell_angle_beta 90.00
_cell_angle_gamma 90.00
_symmetry_space_group_name_H-M 'F m -3 m'
_symmetry_Int_Tables_number 225
_symmetry_space_group_name_Hall '-F 4 2 3'
loop_
_atom_site_label
_atom_site_type_symbol
_atom_site_fract_x
_atom_site_fract_y
_atom_site_fract_z
Pm1 Pm 0.0000 0.0000 0.0000
Sc1 Sc 0.2500 0.2500 0.2500
Ga1 Ga 0.0000 0.0000 0.5000

Most stable: 1. Least stable: 2.

1 | # PmSc2Ga | Alexandria via LeMat-Bulk | PBE-GGA | relaxed
# **Crystal system**: tetragonal
# **Mass density**: 5.36 Mg/m³
# **Size of the total moment**: 0.63 μB per formula unit
data_PmSc2Ga
_chemical_formula_sum 'Pm1 Sc2 Ga1'
_cell_length_a 4.5552
_cell_length_b 4.5552
_cell_length_c 4.5472
_cell_angle_alpha 90.00
_cell_angle_beta 90.00
_cell_angle_gamma 90.00
_symmetry_space_group_name_H-M 'P 4/m m m'
_symmetry_Int_Tables_number 123
_symmetry_space_group_name_Hall '-P 4 2'
loop_
_atom_site_label
_atom_site_type_symbol
_atom_site_fract_x
_atom_site_fract_y
_atom_site_fract_z
Pm1 Pm 0.0000 0.0000 0.0000
Sc1 Sc 0.0000 0.5000 0.5000
Ga1 Ga 0.5000 0.5000 0.0000

2 | # PmSc2Ga | Alexandria via LeMat-Bulk | PBE-GGA | relaxed
# **Crystal system**: trigonal
# **Mass density**: 4.86 Mg/m³
# **Size of the total moment**: 0.00 μB per formula unit
data_PmSc2Ga
_chemical_formula_sum 'Pm3 Sc6 Ga3'
_cell_length_a 4.6714
_cell_length_b 4.6714
_cell_length_c 16.5342
_cell_angle_alpha 90.00
_cell_angle_beta 90.00
_cell_angle_gamma 120.00
_symmetry_space_group_name_H-M 'R 3 m'
_symmetry_Int_Tables_number 160
_symmetry_space_group_name_Hall 'R 3 -2"'
loop_
_atom_site_label
_atom_site_type_symbol
_atom_site_fract_x
_atom_site_fract_y
_atom_site_fract_z
Pm1 Pm 0.0000 0.0000 0.0000
Sc1 Sc 0.0000 0.0000 0.5513
Sc2 Sc 0.0000 0.0000 0.7878
Ga1 Ga 0.0000 0.0000 0.2015

Most stable: 1. Least stable: 2.

1 | # PmScGa6 | Alexandria via LeMat-Bulk | PBE-GGA | relaxed
# **Crystal system**: tetragonal
# **Mass density**: 6.63 Mg/m³
# **Size of the total moment**: 0.00 μB per formula unit
data_PmScGa6
_chemical_formula_sum 'Pm1 Sc1 Ga6'
_cell_length_a 4.2466
_cell_length_b 4.2466
_cell_length_c 8.4515
_cell_angle_alpha 90.00
_cell_angle_beta 90.00
_cell_angle_gamma 90.00
_symmetry_space_group_name_H-M 'P 4/m m m'
_symmetry_Int_Tables_number 123
_symmetry_space_group_name_Hall '-P 4 2'
loop_
_atom_site_label
_atom_site_type_symbol
_atom_site_fract_x
_atom_site_fract_y
_atom_site_fract_z
Pm1 Pm 0.0000 0.0000 0.0000
Sc1 Sc 0.0000 0.0000 0.5000
Ga1 Ga 0.0000 0.5000 0.2633
Ga2 Ga 0.5000 0.5000 0.0000
Ga3 Ga 0.5000 0.5000 0.5000

2 | # PmScGa6 | Alexandria via LeMat-Bulk | PBE-GGA | relaxed
# **Crystal system**: hexagonal
# **Mass density**: 6.60 Mg/m³
# **Size of the total moment**: 0.00 μB per formula unit
data_PmScGa6
_chemical_formula_sum 'Pm1 Sc1 Ga6'
_cell_length_a 6.2148
_cell_length_b 6.2148
_cell_length_c 4.5766
_cell_angle_alpha 90.00
_cell_angle_beta 90.00
_cell_angle_gamma 120.00
_symmetry_space_group_name_H-M 'P -6 m 2'
_symmetry_Int_Tables_number 187
_symmetry_space_group_name_Hall 'P -6 2'
loop_
_atom_site_label
_atom_site_type_symbol
_atom_site_fract_x
_atom_site_fract_y
_atom_site_fract_z
Pm1 Pm 0.0000 0.0000 0.0000
Sc1 Sc 0.6667 0.3333 0.5000
Ga1 Ga 0.0249 0.5124 0.0000
Ga2 Ga 0.1885 0.3769 0.5000

Most stable: 1. Least stable: 2.